(1)
Computed, not measured: crystalline Zn23CrGa6 at its relaxed geometry at the PBE level of DFT.

```
Zn23CrGa6
1.0
1.826 -2.949 8.141
4.353 -7.630 1.069
8.342 0.041 2.953
Zn Ga Cr
23 6 1
Cartesian
6.090 -5.473 9.391
0.913 -1.474 4.071
0.000 0.000 0.000
10.521 -5.343 10.133
4.171 0.021 1.476
7.729 -8.510 4.802
6.347 -3.794 2.011
2.706 -2.795 5.655
6.045 -1.263 2.996
11.815 -7.742 6.509
2.176 -3.815 0.535
6.792 -2.027 7.361
5.084 -1.454 5.547
8.476 -9.274 9.167
9.616 -6.978 8.055
4.001 -5.194 2.030
4.203 -7.005 6.139
1.770 -1.284 1.482
12.751 -9.253 10.681
3.090 -5.289 4.605
10.318 -3.533 6.025
4.905 -3.559 4.109
8.431 -5.065 2.772
9.641 -6.285 5.179
5.987 -6.303 3.886
4.880 -4.252 6.984
7.734 -2.943 4.711
8.534 -4.234 8.277
6.787 -7.595 7.452
7.261 -5.269 6.082
```

Output
Symmetry   Fm-3m
Electronic total energy   -54.43 eV/cell


(2)
Computed, not measured: crystalline TaMn2Al2 at its relaxed geometry at the PBE level of DFT.

```
TaMn2Al2
1.0
7.070 0.000 0.000
0.000 7.070 0.000
0.000 0.000 2.823
Al Mn Ta
4 4 2
Cartesian
1.019 4.554 1.411
4.554 6.051 1.411
6.051 2.516 1.411
2.516 1.019 1.411
4.603 1.068 0.000
6.002 4.603 0.000
1.068 2.467 0.000
2.467 6.002 0.000
3.535 3.535 0.000
0.000 0.000 0.000
```

Output
Symmetry   P4/mbm
Electronic total energy   -75.50 eV/cell
Offset from the most stable computed form   95 meV per atom


Asked for E_form across the records above, the calculation gives 0.09, -0.01 eV per atom in order.
Asked for density across the records above, the calculation gives 6.69, 8.12 g cm⁻³ in order.
Asked for magnetization across the records above, the calculation gives 0.15, 0.54 μB/atom in order.